1.
Material: PrDy12Y6
Method: DFT, PBE
State: optimized geometry

## Properties
Its space-group type is R-3m (166). The crystal system is trigonal.

Unit cell a=9.3875 b=9.3875 c=9.3875 alpha=108.52 beta=108.52 gamma=108.52
Positions (direct):
Pr 0.0000 0.0000 0.0000
Dy 0.1082 0.5000 0.8918
Dy 0.1082 0.8918 0.5000
Dy 0.1612 0.3710 0.3710
Dy 0.3710 0.1612 0.3710
Dy 0.3710 0.3710 0.1612
Dy 0.5000 0.1082 0.8918
Dy 0.5000 0.8918 0.1082
Dy 0.6290 0.6290 0.8388
Dy 0.6290 0.8388 0.6290
Dy 0.8388 0.6290 0.6290
Dy 0.8918 0.1082 0.5000
Dy 0.8918 0.5000 0.1082
Y 0.2467 0.6773 0.6773
Y 0.3227 0.3227 0.7533
Y 0.3227 0.7533 0.3227
Y 0.6773 0.2467 0.6773
Y 0.6773 0.6773 0.2467
Y 0.7533 0.3227 0.3227

2.
Material: SrCa2TlCu
Method: DFT, PBE
State: optimized geometry

## Properties
Its space-group type is P4/mmm (123). The crystal system is tetragonal.

Unit cell a=5.6635 b=5.6635 c=5.1740 alpha=90.00 beta=90.00 gamma=90.00
Positions (direct):
Sr 0.0000 0.0000 0.0000
Ca 0.0000 0.5000 0.5000
Ca 0.5000 0.0000 0.5000
Tl 0.5000 0.5000 0.0000
Cu 0.5000 0.5000 0.5000

Number 1: ΔE to the lowest computed polymorph 0.286 eV per atom, formation energy 0.44 eV per atom. Number 2: ΔE to the lowest computed polymorph 0.000 eV per atom, formation energy -0.05 eV per atom.